Record 1
## HfTlNO (PBE)

Data for a geometry-optimized HfTlNO structure.

```
HfTlNO
1.0
-1.799 0.459 3.780
-3.622 -1.497 -1.542
2.429 -8.079 2.137
Hf Tl N O
2 2 2 2
direct
0.750 0.750 0.085
0.250 0.250 0.915
0.750 0.250 0.500
0.250 0.750 0.500
0.250 0.250 0.704
0.750 0.750 0.296
0.250 0.750 0.000
0.750 0.250 0.000
```

Values from the calculation:
**E**: -59.7 eV for the cell shown
**Calculated density**: 8.88 g cm⁻³

=====

Record 2
## HfTlNO (PBE)

Data for a geometry-optimized HfTlNO structure.

```
HfTlNO
1.0
3.556 0.000 0.000
0.000 7.376 0.000
0.000 0.000 5.990
N Hf O Tl
2 2 2 2
direct
0.000 0.411 0.330
0.000 0.589 0.830
0.000 0.358 0.003
0.000 0.642 0.503
0.500 0.236 0.951
0.500 0.764 0.451
0.500 0.818 0.970
0.500 0.182 0.470
```

Values from the calculation:
**E**: -63.0 eV for the cell shown
**Calculated density**: 8.73 g cm⁻³

=====

Look up the calculated density of the second one. 8.73 g cm⁻³